Below is an optimized crystal structure of TaCoSnO6, with properties calculated at the PBE+U level.

Properties
Calculated volume in Å³ per atom: 11.809
Total magnetization in μB/f.u.: 4.04
Final energy in hartree per atom: -0.2692

Cell and atoms, written as CIF:
```
data_TaCoSnO6
_symmetry_space_group_name_H-M 'P 1'
_symmetry_Int_Tables_number 1
_cell_length_a 5.2674
_cell_length_b 5.2674
_cell_length_c 8.8465
_cell_angle_alpha 90.00
_cell_angle_beta 90.00
_cell_angle_gamma 120.00
loop_
_symmetry_equiv_pos_as_xyz
'x,y,z'
loop_
_atom_site_label
_atom_site_type_symbol
_atom_site_fract_x
_atom_site_fract_y
_atom_site_fract_z
O1 O 0.3442 0.3301 0.3728
O2 O 0.6699 0.6558 0.1272
Sn1 Sn 0.6667 0.3333 0.7500
O3 O 0.0142 0.6699 0.8728
Co1 Co 0.0000 0.0000 0.5000
O4 O 0.3301 0.3442 0.8728
O5 O 0.6558 0.6699 0.6272
O6 O 0.6699 0.0142 0.3728
O7 O 0.3301 0.9858 0.6272
Co2 Co 0.0000 0.0000 0.0000
O8 O 0.9858 0.3301 0.1272
O9 O 0.3442 0.0142 0.1272
Ta1 Ta 0.3333 0.6667 0.7500
O10 O 0.0142 0.3442 0.6272
Sn2 Sn 0.3333 0.6667 0.2500
O11 O 0.9858 0.6558 0.3728
Ta2 Ta 0.6667 0.3333 0.2500
O12 O 0.6558 0.9858 0.8728
```